## NiSnP2O8 (GGA+U)

Data for a geometry-optimized NiSnP2O8 structure.

Unit cell a=7.5939 b=7.5939 c=7.5939 alpha=36.41 beta=36.41 gamma=36.41
Fractional coordinates of all 12 atoms:
Ni  0.0000  0.0000  0.0000
Sn  0.5000  0.5000  0.5000
P  0.2571  0.2571  0.2571
P  0.7429  0.7429  0.7429
O  0.0275  0.4022  0.7380
O  0.1832  0.1832  0.1832
O  0.2620  0.9725  0.5978
O  0.4022  0.7380  0.0275
O  0.5978  0.2620  0.9725
O  0.7380  0.0275  0.4022
O  0.8168  0.8168  0.8168
O  0.9725  0.5978  0.2620

- DFT total energy (eV per cell) = -75.0
- symmetry = R-3, No. 148